Arrangement P

## Li3Sn2P3O12 (SCAN)

Data for a crystal of Li3Sn2P3O12 relaxed with PBEsol.

**M_tot**: 0.00 μB per formula unit
**Density of states at the Fermi level**: 0.000 states/eV per atom

Cell and atoms, written as extended XYZ:
```
80
Lattice="-4.048 -3.897 6.525 -4.076 -5.317 -5.704 9.943 -8.274 0.608" Properties=species:S:1:pos:R:3 pbc="T T T"
Li -3.906 -9.264 1.574
Li 2.870 -10.751 -4.105
Li -2.987 -7.077 0.447
Li -0.038 -3.265 0.015
Li -1.074 -5.779 3.089
Li -1.051 -6.738 5.534
Li 5.725 -8.225 -0.145
Li 1.858 -14.223 1.414
Li 2.893 -11.709 -1.660
Li -0.888 -7.874 -1.869
Li 4.806 -10.412 0.982
Li 2.707 -9.615 3.298
O -2.012 -4.229 2.431
O 1.944 -10.565 -0.417
O 2.303 -13.482 3.409
O -3.582 -7.472 2.202
O -0.484 -4.007 -1.980
O -4.689 -5.589 3.566
O 1.221 -10.120 2.007
O -1.742 -7.986 -4.772
O 0.122 -5.589 4.587
O 0.171 -1.558 1.097
O 4.306 -10.925 -2.869
O -2.898 -10.723 2.331
O -3.878 -5.618 -0.526
O 3.913 -14.134 1.387
O 3.268 -6.523 1.953
O 0.599 -7.368 -0.578
O -2.487 -6.564 4.298
O -2.094 -3.354 0.042
O 1.698 -11.899 -3.158
O 5.401 -10.017 -0.773
O -2.132 -6.427 -2.761
O 1.567 -8.509 4.607
O 3.831 -13.260 -1.001
O 3.562 -9.502 6.201
O -0.756 -9.234 4.048
O 3.176 -11.501 1.553
O -1.919 -12.994 1.657
O 3.738 -4.495 -0.228
O -1.357 -5.988 -0.123
O 0.946 -5.051 0.543
O 3.951 -11.061 4.190
O -2.247 -9.486 -2.399
O -2.812 -8.896 -0.082
O -5.445 -7.403 -1.095
O -0.125 -6.924 1.846
O 7.654 -8.091 -0.017
O 4.066 -8.002 3.828
O 5.697 -11.870 1.955
O 7.265 -10.086 2.524
O 6.508 -11.900 -2.137
O 4.631 -8.592 1.511
O 0.252 -8.979 -3.178
O 0.874 -12.438 0.886
O -1.449 -10.966 -0.524
O 4.717 -6.766 -0.902
O 2.575 -8.254 -2.619
O 1.648 -15.931 0.332
O -5.835 -9.398 1.446
P 4.496 -7.391 2.441
P -2.714 -3.278 1.484
P 1.764 -11.145 0.987
P 0.056 -6.344 0.442
P 4.534 -14.210 -0.055
P 1.515 -8.218 -3.721
P 4.228 -10.832 5.722
P -2.408 -6.656 -4.293
P 5.614 -10.596 -2.158
P -2.677 -10.097 -1.012
P -3.795 -6.892 3.587
P 0.304 -9.271 5.150
Sn 4.135 -12.758 2.919
Sn 2.764 -4.616 1.559
Sn -2.563 -3.784 4.913
Sn -0.945 -12.873 -0.130
Sn -2.316 -4.730 -1.490
Sn 4.382 -13.705 -3.483
Sn -0.843 -9.207 1.952
Sn 2.662 -8.282 -0.523
```

=====

Arrangement Q

## Li3Sn2P3O12 (SCAN)

Data for a crystal of Li3Sn2P3O12 relaxed with PBEsol.

**M_tot**: 0.00 μB per formula unit
**Density of states at the Fermi level**: 0.000 states/eV per atom

Cell and atoms, written as extended XYZ:
```
40
Lattice="-0.602 6.609 5.128 -7.504 3.374 1.629 -3.700 -2.402 9.520" Properties=species:S:1:pos:R:3 pbc="T T T"
O -4.368 4.224 11.433
O -7.310 5.110 13.524
O -7.366 0.787 7.442
O -7.168 5.905 5.279
O -1.671 1.564 2.426
O -7.438 3.358 4.844
O -4.496 2.471 2.753
O -4.638 1.676 10.997
O -6.988 0.590 9.818
O -8.802 4.692 6.579
O -7.176 2.831 11.559
O -4.440 6.795 8.835
O -9.064 2.941 9.777
O -3.997 2.584 5.577
O -6.840 7.327 8.056
O -10.135 6.017 13.851
O -2.742 4.640 6.500
O -4.818 6.992 6.459
O -4.630 4.750 4.717
O -3.004 2.889 9.698
O -9.510 3.684 12.097
O -2.296 3.897 4.180
O -4.966 0.254 8.221
O -7.809 4.997 10.700
Sn -8.622 7.018 10.518
Sn -5.408 6.633 4.533
Sn -6.398 0.949 11.743
Sn -3.184 0.563 5.759
P -3.400 3.990 5.315
P -8.406 3.591 10.962
P -8.108 4.657 5.194
P -5.367 7.518 7.826
P -3.699 2.924 11.083
P -6.439 0.063 8.451
Li -3.677 0.844 9.428
Li -8.129 6.737 6.848
Li -8.736 1.255 9.057
Li -5.679 3.076 4.299
Li -3.070 6.326 7.220
Li -6.127 4.505 11.978
```

=====

Verdict on stability: arrangement P comes out on top.

=====

Arrangement P

## LiSnP4O12 (SCAN)

Data for a crystal of LiSnP4O12 relaxed with PBEsol.

**M_tot**: 1.00 μB per formula unit
**Density of states at the Fermi level**: 0.008 states/eV per atom

Cell and atoms, written as extended XYZ:
```
72
Lattice="8.381 0.000 0.000 0.000 9.838 0.000 0.000 0.000 12.872" Properties=species:S:1:pos:R:3 pbc="T T T"
P 3.968 4.890 10.799
P 0.223 4.948 4.363
P 1.417 9.780 11.207
P 2.774 4.861 8.102
P 5.607 4.977 4.770
P 5.607 9.780 8.102
P 8.158 0.029 4.363
P 3.968 0.029 2.073
P 1.417 4.977 1.666
P 6.964 0.058 1.666
P 2.774 0.058 4.770
P 6.964 4.861 11.207
P 8.158 4.890 8.509
P 0.223 9.809 8.509
P 4.413 9.809 10.799
P 4.413 4.948 2.073
O 5.125 1.285 11.001
O 7.561 6.108 11.713
O 3.548 0.640 3.482
O 3.548 4.279 9.391
O 4.833 5.559 3.482
O 7.738 4.279 9.918
O 1.328 9.597 4.138
O 5.519 5.160 10.574
O 0.934 3.634 4.565
O 7.053 0.241 8.734
O 2.862 4.678 2.298
O 4.634 5.998 1.012
O 1.509 8.561 12.116
O 6.872 3.642 12.116
O 0.443 5.998 5.424
O 6.872 1.277 0.757
O 2.862 0.241 10.574
O 7.446 6.204 8.307
O 0.934 1.285 8.307
O 1.328 5.160 8.734
O 7.938 1.079 5.424
O 7.053 4.678 4.138
O 3.370 8.649 5.277
O 0.820 1.189 11.713
O 0.643 5.559 2.955
O 2.682 1.277 5.680
O 4.634 8.759 11.861
O 3.747 3.840 11.861
O 4.833 9.198 9.391
O 3.747 1.079 1.012
O 5.011 1.189 7.596
O 5.699 8.561 7.193
O 3.256 6.204 11.001
O 7.561 8.649 1.159
O 7.938 3.840 7.448
O 5.011 3.730 5.277
O 3.256 8.553 1.871
O 5.125 3.634 1.871
O 1.509 6.196 0.757
O 0.643 9.198 9.918
O 7.738 0.640 2.955
O 0.820 3.730 1.159
O 0.443 8.759 7.448
O 3.370 6.108 7.596
O 5.519 9.597 2.298
O 5.699 6.196 5.680
O 2.682 3.642 7.193
O 7.446 8.553 4.565
Sn 5.154 2.460 0.000
Sn 3.227 7.379 0.000
Sn 0.963 2.460 6.436
Sn 7.418 7.379 6.436
Li 0.027 2.460 0.000
Li 4.217 2.460 6.436
Li 4.164 7.379 6.436
Li 8.354 7.379 0.000
```

=====

Arrangement Q

## LiSnP4O12 (SCAN)

Data for a crystal of LiSnP4O12 relaxed with PBEsol.

**M_tot**: 1.00 μB per formula unit

Cell and atoms, written as extended XYZ:
```
36
Lattice="-0.639 -5.364 5.118 4.174 -2.411 -5.670 5.816 7.127 3.220" Properties=species:S:1:pos:R:3 pbc="T T T"
O 4.076 0.726 -1.744
O 3.234 -6.736 0.685
O 5.275 -1.375 4.412
O 6.058 0.406 -0.169
O 6.117 6.087 1.984
O 6.114 -0.483 -2.589
O 3.293 -1.055 2.838
O 3.237 -0.166 5.258
O 8.195 2.930 -0.935
O 1.060 -1.944 1.056
O 8.291 1.295 1.612
O 6.418 -1.227 2.188
O 2.933 0.578 0.480
O 4.371 -3.299 -2.065
O 3.625 -4.321 0.097
O 5.727 3.672 2.572
O 1.156 -3.579 3.603
O 7.158 1.991 3.801
O 6.166 1.966 -2.198
O 4.980 2.650 4.734
O 5.030 1.244 2.553
O 2.193 -2.640 -1.133
O 4.321 -1.893 0.115
O 3.186 -2.615 4.866
P 2.370 -3.911 4.357
P 6.981 3.262 -1.689
P 3.690 -1.217 4.291
P 2.692 -5.598 -0.126
P 5.661 0.568 -1.623
P 3.730 -2.932 -0.736
P 6.659 4.949 2.795
P 5.621 2.283 3.405
Li -0.319 -2.682 2.559
Li 4.676 -0.325 1.334
Sn 1.471 0.052 2.057
Sn 7.880 -0.701 0.611
```

=====

Arrangement R

## LiSnP4O12 (SCAN)

Data for a crystal of LiSnP4O12 relaxed with PBEsol.

**M_tot**: 0.00 μB per formula unit
**Density of states at the Fermi level**: 0.121 states/eV per atom

Cell and atoms, written as extended XYZ:
```
72
Lattice="-6.808 3.551 0.187 -2.425 -7.025 -1.938 -1.661 -4.070 16.834" Properties=species:S:1:pos:R:3 pbc="T T T"
O -5.107 -6.944 6.422
O -8.167 -5.780 9.195
O -5.571 -0.843 9.813
O -2.996 -3.175 1.615
O -3.314 -2.410 6.793
O -7.597 -1.282 8.317
O -2.784 -6.585 0.807
O -5.966 -4.989 4.517
O -5.089 -5.522 12.764
O -7.128 -3.831 2.502
O -2.401 -5.459 3.323
O -7.554 -0.750 14.381
O -5.475 -0.196 7.368
O -2.537 -4.403 -0.929
O -2.679 -2.296 4.040
O -6.546 -2.461 16.354
O -8.097 -3.786 4.869
O -2.341 -0.819 1.978
O -6.055 -5.458 10.454
O -3.699 -3.549 11.899
O -6.974 -2.558 -0.018
O -7.018 0.549 0.476
O -6.058 -8.915 14.193
O -7.773 -0.135 10.865
O -5.144 -0.206 4.681
O -5.263 -3.378 13.967
O -3.676 -7.619 4.112
O -7.561 -3.546 10.066
O -2.929 -5.801 5.723
O -8.172 -6.586 14.294
O -4.635 -3.019 -0.893
O -6.011 -2.527 4.406
O -5.483 -2.624 8.110
O -3.877 -6.633 10.756
O -3.327 -3.534 9.096
O -4.783 -5.380 -0.197
O -8.563 -2.259 12.479
O -3.182 -4.704 14.123
O -4.555 -4.598 7.135
O -5.757 -1.056 12.279
O -5.066 -6.315 2.084
O -4.633 -1.582 2.541
O -8.282 -5.413 11.724
O -6.879 -0.575 2.934
O -8.503 -3.065 14.825
O -5.887 -7.675 11.793
O -3.236 -6.527 8.129
O -7.115 -4.848 15.813
Li -1.760 -2.434 5.630
Li -7.911 -4.022 0.846
Li -2.632 -2.664 10.685
Li -9.484 -5.969 13.004
Sn -8.316 -1.071 1.331
Sn -3.554 -0.078 6.211
Sn -7.725 -8.410 12.775
Sn -2.192 -5.529 9.848
P -5.199 -6.390 11.428
P -4.302 -6.520 0.834
P -5.695 -1.154 3.654
P -4.298 -4.157 13.108
P -7.603 -4.998 10.477
P -6.285 -0.273 11.140
P -6.790 -3.864 3.942
P -3.978 -6.077 6.902
P -2.637 -6.529 4.317
P -6.011 -2.262 -1.140
P -3.097 -2.071 2.638
P -4.052 -3.247 7.806
P -8.564 -1.767 13.874
P -4.005 -4.452 -1.244
P -6.100 -1.160 8.335
P -7.704 -3.399 16.172
```

=====

Arrangement S

## LiSnP4O12 (SCAN)

Data for a crystal of LiSnP4O12 relaxed with PBEsol.

**M_tot**: 0.00 μB per formula unit
**Density of states at the Fermi level**: 0.000 states/eV per atom

Cell and atoms, written as extended XYZ:
```
36
Lattice="7.390 -0.056 0.004 -2.654 7.133 0.275 -3.108 -2.658 9.137" Properties=species:S:1:pos:R:3 pbc="T T T"
O 0.340 3.989 8.400
O 2.741 4.147 6.610
O -2.470 3.038 5.909
O 2.672 1.935 5.474
O 1.287 0.430 1.017
O 1.778 -0.049 7.879
O -2.292 4.684 3.940
O 1.712 4.635 3.266
O -0.299 4.241 5.557
O 1.926 0.178 3.860
O -0.085 -0.217 6.151
O -0.448 -0.916 8.558
O -2.894 -0.338 8.747
O -0.217 1.539 7.949
O -1.045 2.483 3.943
O 1.844 2.880 1.468
O 2.075 5.335 0.858
O 4.097 1.380 3.508
O 4.521 4.756 0.670
O -3.726 2.169 7.829
O -0.151 4.468 1.538
O 3.919 -0.265 5.477
O 5.353 2.250 1.588
O -1.114 0.271 2.806
P 1.401 1.751 0.397
P 0.226 2.668 9.020
P 3.108 0.647 4.589
P -1.481 3.772 4.827
P 0.289 0.076 7.546
P 1.338 4.343 1.871
P -1.839 1.579 2.900
P 3.466 2.839 6.516
Sn -1.327 3.566 0.137
Sn -1.554 -1.329 4.569
Li 0.807 4.977 6.851
Li 0.820 -0.558 2.565
```

=====

Verdict on stability: arrangement S comes out on top.